# 1
First-principles (GGA-PBE) data for a geometry-optimized CsNdBi structure, as listed in OQMD via LeMat-Bulk. Values from VASP.

The structure in Quantum ESPRESSO input format:
```
&SYSTEM
  ibrav = 0, nat = 12, ntyp = 3
/
ATOMIC_SPECIES
Cs 132.91 Cs.upf
Nd 144.24 Nd.upf
Bi 208.98 Bi.upf
CELL_PARAMETERS angstrom
7.998 0.000 0.000
0.000 7.998 0.000
0.000 0.000 7.998
ATOMIC_POSITIONS angstrom
Cs 0.000 0.000 0.000
Cs 0.000 3.999 3.999
Cs 3.999 0.000 3.999
Cs 3.999 3.999 0.000
Nd 1.999 1.999 5.998
Nd 1.999 5.998 1.999
Nd 5.998 1.999 1.999
Nd 5.998 5.998 5.998
Bi 1.999 1.999 1.999
Bi 1.999 5.998 5.998
Bi 5.998 1.999 5.998
Bi 5.998 5.998 1.999
```

Results
Total DFT energy (no corrections): -2.68 eV/atom



# 2
First-principles (GGA-PBE) data for a geometry-optimized SmTlCuTe3 structure, as listed in OQMD via LeMat-Bulk. Values from VASP.

The structure in Quantum ESPRESSO input format:
```
&SYSTEM
  ibrav = 0, nat = 24, ntyp = 4
/
ATOMIC_SPECIES
Sm 150.36 Sm.upf
Tl 204.38 Tl.upf
Cu 63.55 Cu.upf
Te 127.60 Te.upf
CELL_PARAMETERS angstrom
12.556 0.000 0.000
0.000 4.384 0.000
0.000 0.000 13.043
ATOMIC_POSITIONS angstrom
Sm 0.404 1.096 2.475
Sm 5.873 3.288 8.996
Sm 6.682 1.096 4.047
Sm 12.151 3.288 10.569
Tl 2.404 1.096 6.428
Tl 3.874 3.288 12.950
Tl 8.682 1.096 0.093
Tl 10.151 3.288 6.615
Cu 2.950 3.288 3.936
Cu 3.328 1.096 10.458
Cu 9.228 3.288 2.585
Cu 9.606 1.096 9.107
Te 0.463 3.288 4.694
Te 1.247 1.096 12.210
Te 2.680 3.288 9.179
Te 3.598 1.096 2.657
Te 5.031 3.288 5.689
Te 5.815 1.096 11.215
Te 6.741 3.288 1.828
Te 7.525 1.096 7.354
Te 8.958 3.288 10.386
Te 9.876 1.096 3.865
Te 11.309 3.288 0.833
Te 12.093 1.096 8.350
```

Results
Total DFT energy (no corrections): -4.03 eV/atom



# 3
First-principles (GGA-PBE) data for a geometry-optimized MgZrSc2 structure, as listed in OQMD via LeMat-Bulk. Values from VASP.

The structure in Quantum ESPRESSO input format:
```
&SYSTEM
  ibrav = 0, nat = 4, ntyp = 3
/
ATOMIC_SPECIES
Mg 24.30 Mg.upf
Zr 91.22 Zr.upf
Sc 44.96 Sc.upf
CELL_PARAMETERS angstrom
3.252 0.000 0.000
0.000 3.252 0.000
0.000 0.000 8.854
ATOMIC_POSITIONS angstrom
Mg 0.000 0.000 0.000
Zr 0.000 0.000 4.427
Sc 1.626 1.626 2.259
Sc 1.626 1.626 6.595
```

Results
Total DFT energy (no corrections): -5.74 eV/atom



| no. | total magnetic moment (μB/atom) |
| --- | --- |
| 1 | 0.313 |
| 2 | 0.000 |
| 3 | 0.006 |